Entry 1:
The following is a DFT calculation (PBE) of InCo2Sb after structural relaxation.

Computed properties:
M_tot   0.29 μB per formula unit
Uncorrected formation energy   298 meV/atom
Crystal system   tetragonal
Space-group type   I-4m2 (119)
Final energy   -4.970 eV per atom

Cell: 5.286 5.286 5.286 Å, 138.68 138.68 59.87°
Positions (direct):
In1 0.000 0.000 0.000
Co1 0.500 0.500 0.000
Co2 0.750 0.250 0.500
Sb1 0.250 0.750 0.500

Entry 2:
The following is a DFT calculation (PBE) of InCo2Sb2 after structural relaxation.

Computed properties:
Energy relative to the lowest polymorph listed for this composition   0.114 eV per atom
M_tot   0.89 μB per formula unit
Uncorrected formation energy   208 meV/atom
Crystal system   tetragonal
Space-group type   P4/mbm (127)
Final energy   -4.831 eV per atom

Cell: 7.469 7.469 3.275 Å, 90.00 90.00 90.00°
Positions (direct):
In1 0.000 0.000 0.000
In2 0.500 0.500 0.000
Co1 0.130 0.370 0.000
Co2 0.370 0.870 0.000
Co3 0.630 0.130 0.000
Co4 0.870 0.630 0.000
Sb1 0.156 0.656 0.500
Sb2 0.344 0.156 0.500
Sb3 0.656 0.844 0.500
Sb4 0.844 0.344 0.500

Entry 3:
The following is a DFT calculation (PBE) of InCo2Sb after structural relaxation.

Computed properties:
M_tot   0.29 μB per formula unit
Uncorrected formation energy   236 meV/atom
Crystal system   tetragonal
Space-group type   P4mm (99)
Final energy   -5.032 eV per atom

Cell: 3.530 3.530 5.363 Å, 90.00 90.00 90.00°
Positions (direct):
In1 0.000 0.000 0.000
Co1 0.000 0.000 0.517
Co2 0.500 0.500 0.828
Sb1 0.500 0.500 0.358